(1)
Tl2PdI, single point on PBEsol structure, DFT SCAN; total moment = 0.0 μB/f.u.; uncorrected formation energy = 4.3 kcal/mol of atoms; crystal system = cubic; electronic total energy = -853.92 eV per cell
1.0
7.563 0.000 0.000
0.000 7.563 0.000
0.000 0.000 7.563
Tl Pd I
8 4 4
Direct
0.250 0.250 0.250
0.250 0.250 0.750
0.250 0.750 0.250
0.250 0.750 0.750
0.750 0.250 0.250
0.750 0.250 0.750
0.750 0.750 0.250
0.750 0.750 0.750
0.000 0.000 0.000
0.000 0.500 0.500
0.500 0.000 0.500
0.500 0.500 0.000
0.000 0.000 0.500
0.000 0.500 0.000
0.500 0.000 0.000
0.500 0.500 0.500

---

(2)
Tl3PdI, single point on PBEsol structure, DFT SCAN; total moment = 0.0 μB/f.u.; uncorrected formation energy = -8.3 kcal/mol of atoms; crystal system = cubic; electronic total energy = -288.39 eV per cell
1.0
5.313 0.000 0.000
0.000 5.313 0.000
0.000 0.000 5.313
Tl Pd I
3 1 1
Direct
0.000 0.000 0.500
0.000 0.500 0.000
0.500 0.000 0.000
0.000 0.000 0.000
0.500 0.500 0.500

---

(3)
TlPdI2, single point on PBEsol structure, DFT SCAN; total moment = 1.0 μB/f.u.; uncorrected formation energy = 3.8 kcal/mol of atoms; crystal system = cubic; electronic total energy = -711.84 eV per cell
1.0
7.585 0.000 0.000
0.000 7.585 0.000
0.000 0.000 7.585
Tl Pd I
4 4 8
Direct
0.000 0.000 0.000
0.000 0.500 0.500
0.500 0.000 0.500
0.500 0.500 0.000
0.000 0.000 0.500
0.000 0.500 0.000
0.500 0.000 0.000
0.500 0.500 0.500
0.250 0.250 0.250
0.250 0.250 0.750
0.250 0.750 0.250
0.250 0.750 0.750
0.750 0.250 0.250
0.750 0.250 0.750
0.750 0.750 0.250
0.750 0.750 0.750

---

(4)
TlPdI3, single point on PBEsol structure, DFT SCAN; total moment = 0.0 μB/f.u.; uncorrected formation energy = -8.2 kcal/mol of atoms; crystal system = cubic; electronic total energy = -217.13 eV per cell
1.0
5.447 0.000 0.000
0.000 5.447 0.000
0.000 0.000 5.447
Tl Pd I
1 1 3
Direct
0.000 0.000 0.000
0.500 0.500 0.500
0.000 0.500 0.500
0.500 0.000 0.500
0.500 0.500 0.000

---

(5)
PdWI3, single point on PBEsol structure, DFT SCAN; total moment = 4.8 μB/f.u.; uncorrected formation energy = 29.8 kcal/mol of atoms; crystal system = cubic; electronic total energy = -206.23 eV per cell
1.0
5.317 0.000 0.000
0.000 5.317 0.000
0.000 0.000 5.317
Pd W I
1 1 3
Direct
0.000 0.000 0.000
0.500 0.500 0.500
0.000 0.000 0.500
0.000 0.500 0.000
0.500 0.000 0.000

---

(6)
PdW3I, single point on PBEsol structure, DFT SCAN; total moment = 0.0 μB/f.u.; uncorrected formation energy = 62.6 kcal/mol of atoms; crystal system = cubic; electronic total energy = -265.00 eV per cell
1.0
4.756 0.000 0.000
0.000 4.756 0.000
0.000 0.000 4.756
Pd W I
1 3 1
Direct
0.000 0.000 0.000
0.000 0.000 0.500
0.000 0.500 0.000
0.500 0.000 0.000
0.500 0.500 0.500

---

(7)
Pd3WI, single point on PBEsol structure, DFT SCAN; total moment = 0.0 μB/f.u.; uncorrected formation energy = 27.2 kcal/mol of atoms; crystal system = cubic; electronic total energy = -198.85 eV per cell
1.0
4.825 0.000 0.000
0.000 4.825 0.000
0.000 0.000 4.825
Pd W I
3 1 1
Direct
0.000 0.000 0.500
0.000 0.500 0.000
0.500 0.000 0.000
0.000 0.000 0.000
0.500 0.500 0.500

---

(8)
YPdI3, single point on PBEsol structure, DFT SCAN; total moment = 0.8 μB/f.u.; uncorrected formation energy = -5.4 kcal/mol of atoms; crystal system = cubic; electronic total energy = -172.02 eV per cell
1.0
5.361 0.000 0.000
0.000 5.361 0.000
0.000 0.000 5.361
Y Pd I
1 1 3
Direct
0.000 0.000 0.000
0.500 0.500 0.500
0.000 0.500 0.500
0.500 0.000 0.500
0.500 0.500 0.000

---

(9)
ZrPdI3, single point on PBEsol structure, DFT SCAN; total moment = 2.3 μB/f.u.; uncorrected formation energy = 6.0 kcal/mol of atoms; crystal system = cubic; electronic total energy = -172.40 eV per cell
1.0
5.316 0.000 0.000
0.000 5.316 0.000
0.000 0.000 5.316
Zr Pd I
1 1 3
Direct
0.000 0.000 0.000
0.500 0.500 0.500
0.000 0.500 0.500
0.500 0.000 0.500
0.500 0.500 0.000

---

(10)
Pr3PtI3, single point on PBEsol structure, DFT SCAN; total moment = 0.0 μB/f.u.; uncorrected formation energy = -33.4 kcal/mol of atoms; crystal system = cubic; electronic total energy = -1282.09 eV per cell
1.0
-6.185 6.185 6.185
6.185 -6.185 6.185
6.185 6.185 -6.185
Pr Pt I
12 4 12
Direct
0.018 0.036 0.268
0.018 0.482 0.750
0.036 0.268 0.018
0.232 0.268 0.750
0.232 0.464 0.482
0.268 0.018 0.036
0.268 0.750 0.232
0.464 0.482 0.232
0.482 0.232 0.464
0.482 0.750 0.018
0.750 0.018 0.482
0.750 0.232 0.268
0.000 0.250 0.500
0.250 0.250 0.250
0.250 0.500 0.000
0.500 0.000 0.250
0.250 0.761 0.739
0.250 0.989 0.511
0.511 0.250 0.989
0.511 0.761 0.522
0.522 0.511 0.761
0.739 0.250 0.761
0.739 0.989 0.978
0.761 0.522 0.511
0.761 0.739 0.250
0.978 0.739 0.989
0.989 0.511 0.250
0.989 0.978 0.739

---

(11)
Pr4RuI5, single point on PBEsol structure, DFT SCAN; total moment = 0.0 μB/f.u.; uncorrected formation energy = -28.8 kcal/mol of atoms; crystal system = monoclinic; electronic total energy = -404.31 eV per cell
1.0
9.619 -2.087 0.000
9.619 2.087 0.000
-2.176 0.000 8.904
Pr Ru I
4 1 5
Direct
0.001 0.001 0.213
0.355 0.355 0.926
0.645 0.645 0.074
0.999 0.999 0.787
0.500 0.500 0.000
0.171 0.171 0.348
0.174 0.174 0.822
0.500 0.500 0.500
0.826 0.826 0.178
0.829 0.829 0.652

---

(12)
Pr3RuI3, single point on PBEsol structure, DFT SCAN; total moment = 0.0 μB/f.u.; uncorrected formation energy = -26.5 kcal/mol of atoms; crystal system = monoclinic; electronic total energy = -566.17 eV per cell
1.0
9.165 0.000 0.000
0.000 4.227 0.000
-0.667 0.000 12.337
Pr Ru I
6 2 6
Direct
0.102 0.250 0.388
0.114 0.250 0.835
0.310 0.750 0.618
0.690 0.250 0.382
0.886 0.750 0.165
0.898 0.750 0.612
0.107 0.250 0.619
0.893 0.750 0.381
0.143 0.250 0.115
0.372 0.750 0.878
0.397 0.750 0.363
0.603 0.250 0.637
0.628 0.250 0.122
0.857 0.750 0.885